This record from Alexandria via LeMat-Bulk describes YZrAg after structural relaxation. The functional is PBE-GGA.

Cell: 3.3874 8.1839 5.2678 Å, 87.98 89.99 78.06°
Fractional coordinates of all 6 atoms:
Zr1 0.2546 0.9747 0.1408
Zr2 0.5813 0.3215 0.1075
Y1 0.4373 0.6089 0.5852
Ag1 0.9186 0.6462 0.0855
Y2 0.1274 0.2288 0.6140
Ag2 0.7836 0.9165 0.6632

Computed properties:
DOS(E_F) in states/eV per atom: 0.966
Energy in Ry/atom: -0.441
Energy of formation in eV/atom: -0.048
Crystal system: monoclinic
Symmetry: No. 8
V in Å³ per cell: 142.8

---

This record from Alexandria via LeMat-Bulk describes YZr2Ag after structural relaxation. The functional is PBE-GGA.

Cell: 4.1956 4.1956 11.4905 Å, 79.48 79.48 90.00°
Fractional coordinates of all 8 atoms:
Ag1 0.0000 0.0000 0.0000
Zr1 0.1115 0.6250 0.2500
Y1 0.2500 0.7500 0.5000
Y2 0.5000 0.5000 0.0000
Ag2 0.7500 0.2500 0.5000
Zr2 0.3750 0.3615 0.7500
Zr3 0.6385 0.1250 0.2500
Zr4 0.8750 0.8885 0.7500

Computed properties:
DOS(E_F) in states/eV per atom: 0.992
Energy in Ry/atom: -0.463
Energy of formation in eV/atom: 0.303
Crystal system: tetragonal
Symmetry: No. 122
V in Å³ per cell: 195.4